# 1
DFT (PBE) results for crystalline GaNiPb at its relaxed geometry.

- space group = Fddd, No. 70
- energy relative to the elements (eV per atom) = 0.02

The structure in extended XYZ format:
```
12
Lattice="4.938 0.000 0.000 2.469 4.661 0.000 2.469 0.000 10.348" Properties=species:S:1:pos:R:3 pbc="T T T"
Ga 3.704 2.330 7.433
Ga 4.938 0.000 8.088
Pb 6.173 0.822 5.174
Pb 2.469 3.152 0.000
Ni 4.938 0.000 2.360
Pb 6.173 3.839 5.174
Ni 6.173 2.330 2.814
Pb 4.938 1.508 0.000
Ga 2.469 0.000 2.260
Ni 2.469 0.000 7.987
Ga 3.704 2.330 2.914
Ni 6.173 2.330 7.534
```

# 2
DFT (PBE) results for crystalline Ga2Ni2Pb at its relaxed geometry.

- space group = P4/mbm, No. 127
- energy relative to the elements (eV per atom) = -0.03

The structure in extended XYZ format:
```
10
Lattice="-1.866 -4.784 5.301 5.439 2.597 4.259 -1.853 1.996 1.149" Properties=species:S:1:pos:R:3 pbc="T T T"
Ga 2.493 0.105 7.639
Pb 1.786 -1.094 4.780
Ga -0.773 -0.296 3.070
Ni -0.443 -2.692 3.960
Ga -0.605 -2.162 6.583
Ni 1.854 -2.474 7.287
Ni 4.016 0.505 5.599
Ni 1.718 0.287 2.272
Pb 0.000 0.000 0.000
Ga 2.324 1.971 4.126
```

# 3
DFT (PBE) results for crystalline Ga2Ni2Pb at its relaxed geometry.

- space group = I4/mmm, No. 139
- energy relative to the elements (eV per atom) = -0.09

The structure in extended XYZ format:
```
5
Lattice="3.732 0.000 0.000 0.000 3.732 0.000 1.866 1.866 5.934" Properties=species:S:1:pos:R:3 pbc="T T T"
Ni 1.866 1.866 1.323
Ni 3.732 3.732 4.611
Ga 3.732 1.866 2.967
Pb 0.000 0.000 0.000
Ga 1.866 3.732 2.967
```